# 1
The following is a DFT calculation (GGA-PBE) of a relaxed structure of Mg2Al2CdCu5.

Computed properties:
Calculated formation energy, eV/atom: -0.026
V, Å³ per cell: 315
Size of the total moment, μB/atom: 0.00
N(E_F), states/eV per cell: 4.3

abc: 9.1028 9.1028 3.7993
angles: 90.00 90.00 90.00
Last column: nearest neighbours and their distance in Å.
Sites, in units of the cell vectors:
Mg (0.1793, 0.3207, 0.0000)  3 Al 2.64-2.75
Mg (0.3207, 0.8207, 0.0000)  3 Al 2.64-2.75
Mg (0.6793, 0.1793, 0.0000)  3 Al 2.64-2.75
Mg (0.8207, 0.6793, 0.0000)  3 Al 2.64-2.75
Al (0.1158, 0.6158, 0.0000)  6 Cu 2.41-2.50, 1 Mg 2.64
Al (0.3842, 0.1158, 0.0000)  6 Cu 2.41-2.50, 1 Mg 2.64
Al (0.6158, 0.8842, 0.0000)  6 Cu 2.41-2.50, 1 Mg 2.64
Al (0.8842, 0.3842, 0.0000)  6 Cu 2.41-2.50, 1 Mg 2.64
Cd (0.0000, 0.0000, 0.0000)  8 Cu 2.77
Cd (0.5000, 0.5000, 0.0000)  8 Cu 2.77
Cu (0.0000, 0.5000, 0.5000)  4 Al 2.41, 4 Cu 2.68
Cu (0.0650, 0.7877, 0.5000)  2 Al 2.50, 1 Cu 2.68, 2 Cd 2.77
Cu (0.2123, 0.0650, 0.5000)  2 Al 2.50, 1 Cu 2.68, 2 Cd 2.77
Cu (0.2877, 0.5650, 0.5000)  2 Al 2.50, 1 Cu 2.68, 2 Cd 2.77
Cu (0.4350, 0.2877, 0.5000)  2 Al 2.50, 1 Cu 2.68, 2 Cd 2.77
Cu (0.5000, 0.0000, 0.5000)  4 Al 2.41, 4 Cu 2.68
Cu (0.5650, 0.7123, 0.5000)  2 Al 2.50, 1 Cu 2.68, 2 Cd 2.77
Cu (0.7123, 0.4350, 0.5000)  2 Al 2.50, 1 Cu 2.68, 2 Cd 2.77
Cu (0.7877, 0.9350, 0.5000)  2 Al 2.50, 1 Cu 2.68, 2 Cd 2.77
Cu (0.9350, 0.2123, 0.5000)  2 Al 2.50, 1 Cu 2.68, 2 Cd 2.77

# 2
The following is a DFT calculation (GGA-PBE) of a relaxed structure of MnHOs3.

Computed properties:
Excess energy over the best structure of this formula in the dataset, eV/f.u.: 10.80
V, Å³ per cell: 86
Size of the total moment, μB/atom: 0.32
N(E_F), states/eV per cell: 6.9

abc: 4.4160 4.4160 4.4160
angles: 90.00 90.00 90.00
Last column: nearest neighbours and their distance in Å.
Sites, in units of the cell vectors:
Mn (0.0000, 0.0000, 0.0000)  6 Os 2.21
H (0.5000, 0.5000, 0.5000)  12 Os 3.12
Os (0.0000, 0.0000, 0.5000)  2 Mn 2.21
Os (0.0000, 0.5000, 0.0000)  2 Mn 2.21
Os (0.5000, 0.0000, 0.0000)  2 Mn 2.21

# 3
The following is a DFT calculation (GGA-PBE) of a relaxed structure of BaAs2SBr.

Computed properties:
ΔE_f (raw), eV per atom: 0.7734
Excess energy over the best structure of this formula in the dataset, eV/f.u.: 5.87
V, Å³ per cell: 287
Size of the total moment, μB/atom: 1.40
N(E_F), states/eV per cell: 3.7

abc: 6.7761 6.7761 6.2420
angles: 90.00 90.00 90.00
Last column: nearest neighbours and their distance in Å.
Sites, in units of the cell vectors:
Ba (0.0000, 0.0000, 0.0000)  2 Br 3.12, 4 As 3.39
As (0.0000, 0.5000, 0.0000)  2 Ba 3.39
As (0.5000, 0.0000, 0.0000)  2 Ba 3.39
S (0.5000, 0.5000, 0.5000)  8 As 4.61, 4 Br 4.79
Br (0.0000, 0.0000, 0.5000)  2 Ba 3.12

# 4
The following is a DFT calculation (GGA-PBE) of a relaxed structure of SnIBr.

Computed properties:
ΔE_f (raw), eV per atom: -0.5152
V, Å³ per cell: 110
Size of the total moment, μB/atom: 0.00
N(E_F), states/eV per cell: 0.0

abc: 5.3735 5.3735 5.3735
angles: 60.00 60.00 60.00
Last column: nearest neighbours and their distance in Å.
Sites, in units of the cell vectors:
Sn (0.0000, 0.0000, 0.0000)  4 Br 3.29, 4 I 3.29
I (0.2500, 0.2500, 0.2500)  4 Sn 3.29
Br (0.7500, 0.7500, 0.7500)  4 Sn 3.29

# 5
The following is a DFT calculation (GGA-PBE) of a relaxed structure of Cs3Cu2Br4Cl2.

Computed properties:
ΔE_f (raw), eV per atom: -1.1829
V, Å³ per cell: 377
Size of the total moment, μB/atom: 0.00
N(E_F), states/eV per cell: 8.4

abc: 15.0465 15.0465 15.0465
angles: 160.58 160.58 27.60
Last column: nearest neighbours and their distance in Å.
Sites, in units of the cell vectors:
Cs (0.0000, 0.0000, 0.0000)  8 Br 3.67
Cs (0.1853, 0.1853, 0.0000)  5 Cl 3.57-3.60, 4 Br 3.75
Cs (0.8147, 0.8147, 0.0000)  5 Cl 3.57-3.60, 4 Br 3.75
Cu (0.3894, 0.3894, 0.0000)  1 Cl 2.40, 4 Br 2.60
Cu (0.6106, 0.6106, 0.0000)  1 Cl 2.40, 4 Br 2.60
Br (0.0907, 0.5907, 0.5000)  2 Cu 2.60
Br (0.4093, 0.9093, 0.5000)  2 Cu 2.60
Br (0.5907, 0.0907, 0.5000)  2 Cu 2.60
Br (0.9093, 0.4093, 0.5000)  2 Cu 2.60
Cl (0.3073, 0.3073, 0.0000)  1 Cu 2.40
Cl (0.6927, 0.6927, 0.0000)  1 Cu 2.40

# 6
The following is a DFT calculation (GGA-PBE) of a relaxed structure of AgHg2.

Computed properties:
Calculated formation energy, eV/atom: 0.083
Excess energy over the best structure of this formula in the dataset, eV/f.u.: 0.09
V, Å³ per cell: 134
Size of the total moment, μB/atom: 0.00
N(E_F), states/eV per cell: 2.3

abc: 13.7043 13.7043 13.7043
angles: 166.80 166.80 18.71
Last column: nearest neighbours and their distance in Å.
Sites, in units of the cell vectors:
Ag (0.3750, 0.6250, 0.7500)  8 Hg 3.04, 4 Ag 3.15
Ag (0.6250, 0.3750, 0.2500)  8 Hg 3.04, 4 Ag 3.15
Hg (0.0485, 0.7985, 0.2500)  4 Ag 3.04, 6 Hg 3.06-3.15
Hg (0.2015, 0.9515, 0.2500)  4 Ag 3.04, 6 Hg 3.06-3.15
Hg (0.7985, 0.0485, 0.7500)  4 Ag 3.04, 6 Hg 3.06-3.15
Hg (0.9515, 0.2015, 0.7500)  4 Ag 3.04, 6 Hg 3.06-3.15

# 7
The following is a DFT calculation (GGA-PBE) of a relaxed structure of TmTh2WC4.

Computed properties:
Calculated formation energy, eV/atom: 0.000
V, Å³ per cell: 280
Size of the total moment, μB/atom: 0.00
N(E_F), states/eV per cell: 5.9

abc: 6.2617 6.2617 13.0772
angles: 90.00 90.00 146.92
Last column: nearest neighbours and their distance in Å.
Sites, in units of the cell vectors:
Tm (0.1160, 0.8840, 0.7500)  6 C 2.70-2.84
Tm (0.8840, 0.1160, 0.2500)  6 C 2.70-2.84
Th (0.3645, 0.6355, 0.5353)  5 C 2.46-2.73
Th (0.3645, 0.6355, 0.9647)  5 C 2.46-2.73
Th (0.6355, 0.3645, 0.0353)  5 C 2.46-2.73
Th (0.6355, 0.3645, 0.4647)  5 C 2.46-2.73
W (0.1587, 0.8413, 0.2500)  4 C 1.95-2.09
W (0.8413, 0.1587, 0.7500)  4 C 1.95-2.09
C (0.0000, 0.0000, 0.0000)  4 Th 2.46
C (0.0000, 0.0000, 0.5000)  4 Th 2.46
C (0.2668, 0.7332, 0.1383)  1 W 1.95
C (0.2668, 0.7332, 0.3617)  1 W 1.95
C (0.4321, 0.5679, 0.7500)  2 W 2.09
C (0.5679, 0.4321, 0.2500)  2 W 2.09
C (0.7332, 0.2668, 0.6383)  1 W 1.95
C (0.7332, 0.2668, 0.8617)  1 W 1.95

# 8
The following is a DFT calculation (GGA-PBE) of a relaxed structure of Pm7Nd2Y.

Computed properties:
Calculated formation energy, eV/atom: 0.377
Excess energy over the best structure of this formula in the dataset, eV/f.u.: 2.30
V, Å³ per cell: 362
Size of the total moment, μB/atom: 0.00
N(E_F), states/eV per cell: 14.5

abc: 10.3620 10.3620 3.5665
angles: 90.00 90.00 109.08
Last column: nearest neighbours and their distance in Å.
Sites, in units of the cell vectors:
Pm (0.0000, 0.0000, 0.0000)  10 Pm 3.45-3.64
Pm (0.1192, 0.3714, 0.0000)  1 Nd 3.16
Pm (0.1751, 0.8249, 0.5000)  2 Nd 3.14, 2 Pm 3.45
Pm (0.3714, 0.1192, 0.0000)  1 Nd 3.16
Pm (0.6286, 0.8808, 0.0000)  1 Nd 3.16
Pm (0.8249, 0.1751, 0.5000)  2 Nd 3.14, 2 Pm 3.45
Pm (0.8808, 0.6286, 0.0000)  1 Nd 3.16
Nd (0.3285, 0.6715, 0.0000)  4 Pm 3.14-3.16, 2 Y 3.40
Nd (0.6715, 0.3285, 0.0000)  4 Pm 3.14-3.16, 2 Y 3.40
Y (0.5000, 0.5000, 0.5000)  4 Nd 3.40, 2 Y 3.57

# 9
The following is a DFT calculation (GGA-PBE) of a relaxed structure of TbSCl.

Computed properties:
ΔE_f (raw), eV per atom: -2.0988
V, Å³ per cell: 93
Size of the total moment, μB/atom: 0.00
N(E_F), states/eV per cell: 0.0

abc: 4.0540 4.0540 6.5617
angles: 90.00 90.00 120.00
Last column: nearest neighbours and their distance in Å.
Sites, in units of the cell vectors:
Tb (0.0000, 0.0000, 0.0000)  3 S 2.65, 3 Cl 2.85
S (0.3333, 0.6667, 0.8107)  3 Tb 2.65
Cl (0.6667, 0.3333, 0.2478)  3 Tb 2.85

# 10
The following is a DFT calculation (GGA-PBE) of a relaxed structure of SmZn3NiRh.

Computed properties:
Calculated formation energy, eV/atom: -0.321
V, Å³ per cell: 205
Size of the total moment, μB/atom: 0.00
N(E_F), states/eV per cell: 3.9

abc: 7.0639 7.0639 5.2803
angles: 90.00 90.00 129.00
Last column: nearest neighbours and their distance in Å.
Sites, in units of the cell vectors:
Sm (0.2226, 0.7774, 0.7500)  1 Ni 2.65, 2 Rh 2.79
Sm (0.7774, 0.2226, 0.2500)  1 Ni 2.65, 2 Rh 2.79
Zn (0.2064, 0.2064, 0.0000)  2 Ni 2.39, 3 Zn 2.51-2.64, 2 Rh 2.66
Zn (0.2064, 0.2064, 0.5000)  2 Ni 2.39, 3 Zn 2.51-2.64, 2 Rh 2.66
Zn (0.3610, 0.6390, 0.2500)  3 Ni 2.66-2.78, 1 Rh 2.67, 4 Zn 2.84
Zn (0.6390, 0.3610, 0.7500)  3 Ni 2.66-2.78, 1 Rh 2.67, 4 Zn 2.84
Zn (0.7936, 0.7936, 0.0000)  2 Ni 2.39, 3 Zn 2.51-2.64, 2 Rh 2.66
Zn (0.7936, 0.7936, 0.5000)  2 Ni 2.39, 3 Zn 2.51-2.64, 2 Rh 2.66
Ni (0.4301, 0.5699, 0.7500)  5 Zn 2.39-2.66, 1 Sm 2.65
Ni (0.5699, 0.4301, 0.2500)  5 Zn 2.39-2.66, 1 Sm 2.65
Rh (0.1517, 0.8483, 0.2500)  5 Zn 2.66-2.67, 2 Sm 2.79
Rh (0.8483, 0.1517, 0.7500)  5 Zn 2.66-2.67, 2 Sm 2.79

# 11
The following is a DFT calculation (GGA-PBE) of a relaxed structure of YReAg.

Computed properties:
Calculated formation energy, eV/atom: 1.388
Excess energy over the best structure of this formula in the dataset, eV/f.u.: 2.72
V, Å³ per cell: 75
Size of the total moment, μB/atom: 0.83
N(E_F), states/eV per cell: 5.4

abc: 4.7361 4.7361 4.7361
angles: 60.00 60.00 60.00
Last column: nearest neighbours and their distance in Å.
Sites, in units of the cell vectors:
Y (0.0000, 0.0000, 0.0000)  4 Re 2.90, 4 Ag 2.90
Re (0.7500, 0.7500, 0.7500)  4 Y 2.90
Ag (0.2500, 0.2500, 0.2500)  4 Y 2.90

Please write out number 6 again, unchanged.
The following is a DFT calculation (GGA-PBE) of a relaxed structure of AgHg2.

Computed properties:
Calculated formation energy, eV/atom: 0.083
Excess energy over the best structure of this formula in the dataset, eV/f.u.: 0.09
V, Å³ per cell: 134
Size of the total moment, μB/atom: 0.00
N(E_F), states/eV per cell: 2.3

abc: 13.7043 13.7043 13.7043
angles: 166.80 166.80 18.71
Last column: nearest neighbours and their distance in Å.
Sites, in units of the cell vectors:
Ag (0.3750, 0.6250, 0.7500)  8 Hg 3.04, 4 Ag 3.15
Ag (0.6250, 0.3750, 0.2500)  8 Hg 3.04, 4 Ag 3.15
Hg (0.0485, 0.7985, 0.2500)  4 Ag 3.04, 6 Hg 3.06-3.15
Hg (0.2015, 0.9515, 0.2500)  4 Ag 3.04, 6 Hg 3.06-3.15
Hg (0.7985, 0.0485, 0.7500)  4 Ag 3.04, 6 Hg 3.06-3.15
Hg (0.9515, 0.2015, 0.7500)  4 Ag 3.04, 6 Hg 3.06-3.15

What is the size of the total moment in the ninth record? 0.00 μB/atom